A relaxed structure of TlV2CrO8, computed with PBE with a Hubbard U.

Output
Final energy ... -6.8522 eV/atom
Total magnetic moment ... 0.9 Bohr magnetons per cell
SG ... P-3

Geometry as extended XYZ:
```
12
Lattice="5.539 0.000 0.000 -2.770 4.797 0.000 0.000 0.000 7.652" Properties=species:S:1:pos:R:3 pbc="T T T"
Tl 0.000 0.000 0.000
V 2.770 1.599 2.156
V 0.000 3.198 5.496
Cr 0.000 0.000 3.826
O 0.000 3.198 7.158
O 1.305 0.785 2.713
O 4.206 0.737 2.713
O 2.770 1.599 0.494
O -1.437 4.060 4.939
O 1.465 4.012 4.939
O -0.028 1.523 4.939
O 2.797 3.274 2.713
```